Record 1
Mg2GaPb GGA-PBE relaxed; size of the total moment = 0.00 μB per formula unit; DFT total energy = -10.17 eV for the cell shown; energy of formation from the pure elements = -60 meV per atom
1.0
4.735 0.000 0.000
0.000 4.735 0.000
0.000 0.000 4.105
Mg Ga Pb
2 1 1
Direct
0.000 0.500 0.000
0.500 0.000 0.000
0.000 0.000 0.500
0.500 0.500 0.500

***

Record 2
Na3Hf3BeS8 GGA-PBE relaxed; size of the total moment = 0.00 μB per formula unit; E_form (uncorrected) = -1946.1 kJ/mol of formula units; DFT total energy = -90.73 eV for the cell shown
1.0
3.626 2.094 6.811
-3.626 2.094 6.811
0.000 -4.187 6.811
Na Hf Be S
3 3 1 8
Direct
0.000 0.500 0.500
0.500 0.000 0.500
0.500 0.500 0.000
0.000 0.000 0.500
0.000 0.500 0.000
0.500 0.000 0.000
0.500 0.500 0.500
0.241 0.241 0.241
0.249 0.727 0.727
0.273 0.273 0.751
0.273 0.751 0.273
0.727 0.249 0.727
0.727 0.727 0.249
0.751 0.273 0.273
0.759 0.759 0.759

***

Record 3
Ba6Cd5Ge GGA-PBE relaxed; size of the total moment = 0.00 μB per formula unit; DFT total energy = -24.87 eV for the cell shown; energy of formation from the pure elements = -345 meV per atom
1.0
5.941 0.000 0.000
0.000 8.469 0.000
-2.962 0.000 8.948
Ba Cd Ge
6 5 1
Direct
0.000 0.237 0.000
0.000 0.763 0.000
0.339 0.244 0.678
0.339 0.756 0.678
0.661 0.244 0.322
0.661 0.756 0.322
0.171 0.000 0.343
0.171 0.500 0.341
0.500 0.500 0.000
0.829 0.000 0.657
0.829 0.500 0.659
0.500 0.000 0.000